No. 1
{"formula": "Zr2Al2Au", "functional": "PBE-GGA", "state": "optimized geometry", "mass_density_kg_m3": 7422, "sg": "C2/m, No. 12", "energy_ev_per_atom": -6.124, "lattice_angstrom": [[4.218, 0.000, 0.000], [2.109, 5.175, -0.298], [2.109, -0.202, 8.895]], "species": ["Zr", "Al", "Zr", "Au", "Au", "Al", "Zr", "Al", "Al", "Zr"], "fractional_positions": [[0.324, 0.669, 0.683], [0.078, 0.282, 0.561], [0.083, 0.738, 0.097], [0.623, 0.093, 0.661], [0.377, 0.907, 0.339], [0.922, 0.718, 0.439], [0.917, 0.262, 0.903], [0.353, 0.181, 0.113], [0.647, 0.819, 0.887], [0.676, 0.331, 0.317]]}



No. 2
{"formula": "DyThCoPt", "functional": "PBE-GGA", "state": "optimized geometry", "mass_density_kg_m3": 12391, "sg": "Amm2, No. 38", "energy_ev_per_atom": -7.073, "lattice_angstrom": [[3.800, 0.000, 0.000], [0.000, 4.062, 0.000], [-1.900, 0.000, 5.631]], "species": ["Pt", "Co", "Th", "Dy"], "fractional_positions": [[0.584, 0.500, 0.168], [0.403, 0.000, 0.806], [0.867, 0.500, 0.734], [0.146, 0.000, 0.293]]}



No. 3
{"formula": "CaHo2Tm", "functional": "PBE-GGA", "state": "optimized geometry", "mass_density_kg_m3": 6822, "sg": "R3m, No. 160", "energy_ev_per_atom": -3.839, "lattice_angstrom": [[3.561, 0.000, 0.000], [1.780, 3.084, 0.000], [1.780, 1.028, 11.947]], "species": ["Ca", "Tm", "Ho", "Ho"], "fractional_positions": [[0.500, 0.500, 0.499], [0.666, 0.666, 0.001], [0.256, 0.256, 0.233], [0.078, 0.078, 0.767]]}



No. 4
{"formula": "CoTe2Se", "functional": "PBE-GGA", "state": "optimized geometry", "e_form_raw_ev_per_atom": 0.607, "mass_density_kg_m3": 7666, "sg": "P4/mmm, No. 123", "energy_ev_per_atom": -3.611, "lattice_angstrom": [[5.095, -0.010, 0.000], [0.015, 5.095, 0.000], [0.000, 0.000, 3.280]], "species": ["Co", "Se", "Te", "Te"], "fractional_positions": [[0.500, 0.000, 0.500], [0.000, 0.500, 0.500], [0.500, 0.500, 0.000], [0.000, 0.000, 0.000]]}



No. 5
{"formula": "Dy3TmMg7", "functional": "PBE-GGA", "state": "optimized geometry", "mass_density_kg_m3": 4359, "sg": "C2/m, No. 12", "energy_ev_per_atom": -2.471, "lattice_angstrom": [[-2.380, -3.217, -4.504], [6.172, -3.168, 4.764], [-3.243, -0.391, 7.756]], "species": ["Mg", "Dy", "Mg", "Mg", "Mg", "Dy", "Mg", "Mg", "Tm", "Dy", "Mg"], "fractional_positions": [[0.550, 0.763, 0.763], [0.000, 0.806, 0.194], [0.000, 0.500, 0.500], [0.692, 0.434, 0.942], [0.450, 0.237, 0.237], [0.000, 0.194, 0.806], [0.308, 0.566, 0.058], [0.308, 0.058, 0.566], [0.500, 0.500, 0.500], [0.500, 0.000, 0.000], [0.692, 0.942, 0.434]]}